i | The following is a DFT calculation (PBE) of SmSb3 after structural relaxation.

Computed properties:
Size of the total moment = 0.0 μB/f.u.
Crystal system = orthorhombic

abc: 4.398 6.236 4.592
angles: 90.00 90.00 90.00
Space group Pmm2 (No. 25)
Asymmetric unit:
Sm: 0.000 0.000 0.000 x1
Sb: 0.000 0.500 0.867 x1
Sb: 0.500 0.000 0.486 x1
Sb: 0.500 0.500 0.296 x1

=====

ii | The following is a DFT calculation (PBE) of SmSb3 after structural relaxation.

Computed properties:
Size of the total moment = 0.0 μB/f.u.
Crystal system = cubic

abc: 4.804 4.804 4.804
angles: 90.00 90.00 90.00
Space group Pm-3m (No. 221)
Asymmetric unit:
Sm: 0.000 0.000 0.000 x1
Sb: 0.000 0.500 0.500 x3

=====

Stability, descending: i, ii

=====

i | The following is a DFT calculation (PBE) of SmSn2Sb after structural relaxation.

Computed properties:
Size of the total moment = 0.0 μB/f.u.
Crystal system = tetragonal

abc: 4.644 4.644 5.037
angles: 90.00 90.00 90.00
Space group P4/mmm (No. 123)
Asymmetric unit:
Sm: 0.000 0.000 0.000 x1
Sn: 0.000 0.500 0.500 x2
Sb: 0.500 0.500 0.000 x1

=====

ii | The following is a DFT calculation (PBE) of SmSn2Sb after structural relaxation.

Computed properties:
Size of the total moment = 0.0 μB/f.u.
Crystal system = trigonal

abc: 3.7812 3.7812 31.5169
angles: 90.00 90.00 120.00
Space group R-3m (No. 166, hexagonal axes)
Asymmetric unit:
Sm: 0.0000 0.0000 0.0000 x3
Sn: 0.0000 0.0000 0.0997 x6
Sb: 0.0000 0.0000 0.5000 x3

=====

Stability, descending: i, ii

=====

i | The following is a DFT calculation (PBE) of Sm2SnSb after structural relaxation.

Computed properties:
Size of the total moment = 0.0 μB/f.u.
Crystal system = trigonal

abc: 4.3376 4.3376 23.2396
angles: 90.00 90.00 120.00
Space group R-3m (No. 166, hexagonal axes)
Asymmetric unit:
Sm: 0.0000 0.0000 0.2472 x6
Sn: 0.0000 0.0000 0.0000 x3
Sb: 0.0000 0.0000 0.5000 x3

=====

ii | The following is a DFT calculation (PBE) of Sm2SnSb after structural relaxation.

Computed properties:
Size of the total moment = 0.0 μB/f.u.
Crystal system = orthorhombic

abc: 4.519 4.414 11.727
angles: 90.00 90.00 90.00
Space group Amm2 (No. 38)
Asymmetric unit:
Sm: 0.000 0.000 0.000 x2
Sm: 0.500 0.000 0.261 x2
Sn: 0.500 0.000 0.527 x2
Sb: 0.000 0.000 0.729 x2

=====

iii | The following is a DFT calculation (PBE) of Sm2SnSb after structural relaxation.

Computed properties:
Size of the total moment = 0.0 μB/f.u.
Crystal system = orthorhombic

abc: 4.563 24.342 4.401
angles: 90.00 90.00 90.00
Space group Cmcm (No. 63)
Asymmetric unit:
Sm: 0.000 0.063 0.250 x4
Sm: 0.000 0.316 0.250 x4
Sn: 0.000 0.455 0.250 x4
Sb: 0.000 0.188 0.250 x4

=====

Stability, descending: iii, ii, i

=====

i | The following is a DFT calculation (PBE) of Sm5Sn2Sb2 after structural relaxation.

Computed properties:
Size of the total moment = 0.0 μB/f.u.
Crystal system = orthorhombic

abc: 15.745 8.284 8.331
angles: 90.00 90.00 90.00
Space group Cmce (No. 64)
Asymmetric unit:
Sm: 0.000 0.000 0.000 x4
Sm: 0.136 0.169 0.334 x16
Sn: 0.000 0.132 0.632 x8
Sb: 0.203 0.000 0.000 x8

=====

ii | The following is a DFT calculation (PBE) of Sm5Sn2Sb2 after structural relaxation.

Computed properties:
Size of the total moment = 0.0 μB/f.u.
Crystal system = orthorhombic

abc: 17.247 7.803 8.459
angles: 90.00 90.00 90.00
Space group Ima2 (No. 46)
Asymmetric unit:
Sm: 0.061 0.202 0.000 x8
Sm: 0.155 0.656 0.121 x8
Sm: 0.250 0.153 0.268 x4
Sn: 0.082 0.545 0.795 x8
Sb: 0.000 0.000 0.715 x4
Sb: 0.250 0.518 0.430 x4

=====

Stability, descending: i, ii